Computed, not measured: a relaxed structure of Cs6Rb7 at the PBE level of DFT.

Geometry as POSCAR:
```
Cs6Rb7
1.0
-3.4857 -8.7099 1.0828
3.8800 -5.8920 6.2781
-10.6031 0.9298 14.5283
Rb Cs
7 6
Direct
0.9085 0.4129 0.7700
0.0915 0.5871 0.2300
0.5871 0.0915 0.2300
0.0000 0.0000 0.0000
0.4129 0.9085 0.7700
0.0915 0.0915 0.2300
0.9085 0.9085 0.7700
0.8336 0.8336 0.4992
0.6511 0.6511 0.0466
0.1664 0.1664 0.5008
0.3489 0.3489 0.9534
0.4528 0.4528 0.6417
0.5472 0.5472 0.3583
```

Output
Total energy (eV per atom): -0.91
Formation energy from the elements (kcal/mol of atoms): 0.06
Calculated volume (Å³/f.u.): 1325.8


Computed, not measured: a relaxed structure of Cs12Rb at the PBE level of DFT.

Geometry as POSCAR:
```
Cs12Rb
1.0
-9.8931 -7.4224 -1.5623
10.3800 -6.2300 -2.9747
0.6143 3.6552 11.9025
Cs Rb
12 1
Direct
0.1791 0.3146 0.4937
0.3146 0.4937 0.1791
0.3146 0.1355 0.8209
0.8645 0.1791 0.6854
0.1791 0.6854 0.8645
0.6854 0.8645 0.1791
0.4937 0.1791 0.3146
0.6854 0.5063 0.8209
0.8209 0.6854 0.5063
0.5063 0.8209 0.6854
0.8209 0.3146 0.1355
0.1355 0.8209 0.3146
0.0000 0.0000 0.0000
```

Output
Total energy (eV per atom): -0.85
Formation energy from the elements (kcal/mol of atoms): 0.35
Calculated volume (Å³/f.u.): 1491.4


Computed, not measured: a relaxed structure of CsRb8 at the PBE level of DFT.

Geometry as POSCAR:
```
CsRb8
1.0
6.9376 0.0000 2.2990
3.4688 10.6380 1.1495
0.1226 0.0000 11.2475
Cs Rb
1 8
Direct
0.0000 0.0000 0.0000
0.3362 0.6638 0.6638
0.6638 0.3362 0.3362
0.6698 0.6604 0.0000
0.6698 0.0000 0.6604
0.0000 0.3362 0.6638
0.0000 0.6638 0.3362
0.3302 0.0000 0.3396
0.3302 0.3396 0.0000
```

Output
Total energy (eV per atom): -0.95
Formation energy from the elements (kcal/mol of atoms): 0.11
Calculated volume (Å³/f.u.): 827.1


Computed, not measured: a relaxed structure of CsRb11 at the PBE level of DFT.

Geometry as POSCAR:
```
CsRb11
1.0
11.4887 0.0000 5.2394
5.7444 13.5309 2.6197
0.1299 0.0000 14.9308
Rb Cs
22 2
Direct
0.8750 0.2500 0.2500
0.7512 0.8225 0.5805
0.3237 0.6775 0.0805
0.3237 0.0805 0.6775
0.9988 0.9195 0.6775
0.6683 0.5805 0.1775
0.7512 0.5805 0.8225
0.7500 0.5000 0.5000
0.0817 0.9195 0.3225
0.4263 0.4195 0.8225
0.0817 0.3225 0.9195
0.1542 0.1775 0.4195
0.5958 0.3225 0.0805
0.4263 0.8225 0.4195
0.0000 0.0000 0.0000
0.5958 0.0805 0.3225
0.8750 0.2500 0.7500
0.1542 0.4195 0.1775
0.6683 0.1775 0.5805
0.8750 0.7500 0.2500
0.3750 0.7500 0.7500
0.9988 0.6775 0.9195
0.5000 0.0000 0.0000
0.2500 0.5000 0.5000
```

Output
Total energy (eV per atom): -0.92
Formation energy from the elements (kcal/mol of atoms): 0.81
Calculated volume (Å³/f.u.): 1155.9


Computed, not measured: a relaxed structure of Cs5Rb3 at the PBE level of DFT.

Geometry as POSCAR:
```
Cs5Rb3
1.0
-5.6325 -0.8699 -1.6026
-1.5575 -7.0693 9.3108
-3.3154 9.3749 6.5634
Cs Rb
5 3
Direct
0.5000 0.5000 0.2375
0.5000 0.5000 0.7641
0.5000 0.0000 0.2348
0.0000 0.7566 0.5068
0.0000 0.2434 0.5068
0.0000 0.7574 0.9925
0.0000 0.2426 0.9925
0.5000 0.0000 0.7650
```

Output
Total energy (eV per atom): -0.89
Formation energy from the elements (kcal/mol of atoms): 0.07
Calculated volume (Å³/f.u.): 831.9
Relative energy among the computed polymorphs (meV per atom): 3


Computed, not measured: a relaxed structure of Cs5Rb2 at the PBE level of DFT.

Geometry as POSCAR:
```
Cs5Rb2
1.0
9.2110 0.0000 0.0000
0.0000 13.8041 0.7471
-4.6055 -1.3668 11.6679
Cs Rb
10 4
Direct
0.4450 0.1767 0.5691
0.1241 0.6767 0.5691
0.8262 0.2500 0.0000
0.1738 0.7500 0.0000
0.0312 0.0374 0.7259
0.8759 0.3233 0.4309
0.3053 0.4626 0.2741
0.5550 0.8233 0.4309
0.9688 0.9626 0.2741
0.6947 0.5374 0.7259
0.5937 0.8921 0.8599
0.2662 0.3921 0.8599
0.4063 0.1079 0.1401
0.7338 0.6079 0.1401
```

Output
Total energy (eV per atom): -0.88
Formation energy from the elements (kcal/mol of atoms): 0.06
Calculated volume (Å³/f.u.): 746.5


Computed, not measured: a relaxed structure of Cs3Rb11 at the PBE level of DFT.

Geometry as POSCAR:
```
Cs3Rb11
1.0
-6.5059 -4.2352 0.8329
3.9842 -13.1611 0.7908
-2.0325 -1.4096 13.5498
Rb Cs
11 3
Direct
0.8559 0.8722 0.4159
0.3702 0.0048 0.2547
0.5000 0.6512 0.3488
0.6298 0.7453 0.9952
0.1441 0.1278 0.5841
0.1441 0.5841 0.1278
0.0000 0.5000 0.5000
0.6298 0.9952 0.7453
0.5000 0.3488 0.6512
0.3702 0.2547 0.0048
0.8559 0.4159 0.8722
0.7185 0.2815 0.2815
0.0000 0.0000 0.0000
0.2815 0.7185 0.7185
```

Output
Total energy (eV per atom): -0.92
Formation energy from the elements (kcal/mol of atoms): 0.54
Calculated volume (Å³/f.u.): 1361.4


Computed, not measured: a relaxed structure of CsRb8 at the PBE level of DFT.

Geometry as POSCAR:
```
CsRb8
1.0
-1.5157 -5.0590 -1.4954
9.3450 -3.5291 -7.6059
5.2910 -7.1757 8.8401
Rb Cs
8 1
Direct
0.6703 0.0000 0.6594
0.3297 0.3406 0.0000
0.0000 0.6665 0.3335
0.3335 0.6665 0.6665
0.3297 0.0000 0.3406
0.6665 0.3335 0.3335
0.0000 0.3335 0.6665
0.6703 0.6594 0.0000
0.0000 0.0000 0.0000
```

Output
Total energy (eV per atom): -0.95
Formation energy from the elements (kcal/mol of atoms): 0.13
Calculated volume (Å³/f.u.): 823.9